# 1
VASP calculation (PBE) on a relaxed structure of AlPSCl2.

a b c (Å): 4.4242 4.4242 5.3273
angles (deg): 90.00 90.00 90.00
Last column: nearest neighbours and their distance in Å.
Element x y z (fractional)
1 Al 0.0000 0.0000 0.0000  4 Cl 2.21
2 Cl 0.5000 0.0000 0.0000  2 Al 2.21
3 Cl 0.0000 0.5000 0.0000  2 Al 2.21
4 P 0.0000 0.0000 0.5000  2 Al 2.66
5 S 0.5000 0.5000 0.5000  4 P 3.13, 8 Cl 3.46

Calculated values
The space group is P4/mmm (123). The volume is 20.9 A^3/atom. The uncorrected formation energy comes out at 1.2 kcal/mol of atoms. The total energy is -16.71 eV per cell. The energy above the most stable polymorph in this dataset comes out at 70 meV per atom.

# 2
VASP calculation (PBE) on a relaxed structure of Dy5Er2TmSc.

a b c (Å): 5.4817 10.2956 10.3043
angles (deg): 90.00 90.00 105.44
Last column: nearest neighbours and their distance in Å.
Element x y z (fractional)
1 Dy 0.3763 0.7526 0.0208  4 Er 3.51-3.55, 6 Dy 3.58-3.91, 1 Sc 3.60
2 Dy 0.5170 0.0340 0.2411  2 Tm 3.12-3.28, 2 Er 3.39
3 Dy 0.6237 0.2474 0.5208  4 Er 3.51-3.55, 6 Dy 3.58-3.91, 1 Sc 3.60
4 Dy 0.6995 0.3990 0.2053  1 Tm 3.32, 4 Dy 3.34-3.64, 2 Sc 3.37, 2 Er 3.43
5 Dy 0.7248 0.4497 0.8198  1 Tm 2.99, 1 Er 3.26, 2 Dy 3.34
6 Dy 0.3005 0.6010 0.7053  1 Tm 3.32, 4 Dy 3.34-3.64, 2 Sc 3.37, 2 Er 3.43
7 Dy 0.4830 0.9660 0.7411  2 Tm 3.12-3.28, 2 Er 3.39
8 Dy 0.9832 0.9665 0.5159  2 Tm 3.18, 4 Er 3.31-3.56, 1 Sc 3.53
9 Dy 0.0168 0.0335 0.0159  2 Tm 3.18, 4 Er 3.31-3.56, 1 Sc 3.53
10 Dy 0.2752 0.5503 0.3198  1 Tm 2.99, 1 Er 3.26, 2 Dy 3.34
11 Tm 0.4076 0.8153 0.4582  6 Dy 2.99-3.32
12 Tm 0.5924 0.1847 0.9582  6 Dy 2.99-3.32
13 Sc 0.1948 0.3895 0.0150  2 Er 3.27-3.46, 7 Dy 3.37-3.60, 2 Tm 3.46
14 Sc 0.8052 0.6105 0.5150  2 Er 3.27-3.46, 7 Dy 3.37-3.60, 2 Tm 3.46
15 Er 0.1112 0.2224 0.3098  9 Dy 3.26-3.56, 1 Sc 3.46
16 Er 0.1140 0.2279 0.7381  1 Sc 3.27, 6 Dy 3.45-3.61, 2 Tm 3.58
17 Er 0.8860 0.7721 0.2381  1 Sc 3.27, 6 Dy 3.45-3.61, 2 Tm 3.58
18 Er 0.8888 0.7776 0.8098  9 Dy 3.26-3.56, 1 Sc 3.46

Calculated values
The space group is Cmc2_1 (36). The volume is 31.1 A^3/atom. The total energy is -82.91 eV per cell. The value obtained for the energy of formation from the pure elements is 1.5 eV/f.u.

# 3
VASP calculation (PBE) on a relaxed structure of KCeMnS4.

a b c (Å): 6.4365 6.5925 7.9553
angles (deg): 90.00 113.86 90.00
Last column: nearest neighbours and their distance in Å.
Element x y z (fractional)
1 S 0.5964 0.2500 0.1927  1 Mn 2.25
2 S 0.9339 0.2500 0.8677  1 Mn 2.66, 1 Ce 2.73
3 S 0.0661 0.7500 0.1323  1 Mn 2.66, 1 Ce 2.73
4 S 0.4036 0.7500 0.8073  1 Mn 2.25
5 S 0.0000 0.0000 0.5000  2 Mn 2.30
6 S 0.0000 0.5000 0.5000  2 Mn 2.30
7 S 0.5000 0.5000 0.5000  2 Mn 2.30
8 S 0.5000 0.0000 0.5000  2 Mn 2.30
9 Mn 0.2489 0.7500 0.4978  5 S 2.25-2.30
10 Mn 0.7511 0.2500 0.5022  5 S 2.25-2.30
11 Ce 0.1214 0.2500 0.2429  5 S 2.73-2.97
12 Ce 0.8786 0.7500 0.7571  5 S 2.73-2.97
13 K 0.6011 0.7500 0.2021  5 S 2.87-3.16
14 K 0.3989 0.2500 0.7979  5 S 2.87-3.16

Calculated values
The space group is Cmcm (63). The volume is 22.1 A^3/atom. The uncorrected formation energy comes out at -25.5 kcal/mol of atoms. The total energy is -80.89 eV per cell.

# 4
VASP calculation (PBE) on a relaxed structure of InGaP2.

a b c (Å): 4.7192 4.7192 4.7192
angles (deg): 60.00 60.00 60.00
Last column: nearest neighbours and their distance in Å.
Element x y z (fractional)
1 P 0.2500 0.2500 0.2500  4 In 2.89, 4 Ga 2.89
2 P 0.7500 0.7500 0.7500  4 Ga 2.89, 4 In 2.89
3 In 0.5000 0.5000 0.5000  8 P 2.89
4 Ga 0.0000 0.0000 0.0000  8 P 2.89

Calculated values
The space group is Fm-3m (225). The volume is 18.6 A^3/atom. The total energy is -15.05 eV per cell. The value obtained for the energy of formation from the pure elements is 1.5 eV/f.u. The energy above the most stable polymorph in this dataset comes out at 686 meV per atom.

# 5
VASP calculation (PBE) on a relaxed structure of RuPtRh4.

a b c (Å): 5.0281 7.2026 4.9980
angles (deg): 90.00 90.00 94.01
Last column: nearest neighbours and their distance in Å.
Element x y z (fractional)
1 Rh 0.2410 0.9442 0.4995  8 Rh 2.49-2.73, 1 Ru 2.68, 1 Pt 2.73
2 Rh 0.7590 0.0558 0.9995  8 Rh 2.49-2.73, 1 Ru 2.68, 1 Pt 2.73
3 Rh 0.4152 0.2619 0.2500  2 Ru 2.62-2.64, 3 Pt 2.63-2.88, 6 Rh 2.67-2.83
4 Rh 0.5848 0.7381 0.7500  2 Ru 2.62-2.64, 3 Pt 2.63-2.88, 6 Rh 2.67-2.83
5 Rh 0.8483 0.7289 0.2500  2 Pt 2.61-2.65, 3 Ru 2.64-2.85, 6 Rh 2.73-2.83
6 Rh 0.2410 0.9442 0.0005  8 Rh 2.49-2.73, 1 Ru 2.68, 1 Pt 2.73
7 Rh 0.1517 0.2711 0.7500  2 Pt 2.61-2.65, 3 Ru 2.64-2.85, 6 Rh 2.73-2.83
8 Rh 0.7590 0.0558 0.5005  8 Rh 2.49-2.73, 1 Ru 2.68, 1 Pt 2.73
9 Ru 0.9283 0.3708 0.2500  7 Rh 2.62-2.85, 3 Pt 2.65-2.85
10 Ru 0.0717 0.6292 0.7500  7 Rh 2.62-2.85, 3 Pt 2.65-2.85
11 Pt 0.6586 0.3801 0.7500  7 Rh 2.61-2.88, 3 Ru 2.65-2.85
12 Pt 0.3414 0.6199 0.2500  7 Rh 2.61-2.88, 3 Ru 2.65-2.85

Calculated values
The space group is P2_1/m (11). The volume is 15.0 A^3/atom. The total energy is -86.35 eV per cell. The value obtained for the energy of formation from the pure elements is 1.5 eV/f.u. The energy above the most stable polymorph in this dataset comes out at 32 meV per atom.

# 6
VASP calculation (PBE) on a relaxed structure of AlSbBr2.

a b c (Å): 5.6274 5.6274 5.6274
angles (deg): 129.37 129.37 74.41
Last column: nearest neighbours and their distance in Å.
Element x y z (fractional)
1 Br 0.5000 0.5000 0.0000  4 Sb 3.29, 4 Al 3.29, 4 Br 3.40
2 Br 0.0000 0.0000 0.0000  4 Sb 3.29, 4 Al 3.29, 4 Br 3.40
3 Sb 0.2500 0.7500 0.5000  8 Br 3.29, 4 Al 3.40
4 Al 0.7500 0.2500 0.5000  8 Br 3.29, 4 Sb 3.40

Calculated values
The space group is I4/mmm (139). The volume is 25.9 A^3/atom. The uncorrected formation energy comes out at 5.0 kcal/mol of atoms. The total energy is -10.34 eV per cell. The energy above the most stable polymorph in this dataset comes out at 555 meV per atom.

# 7
VASP calculation (PBE) on a relaxed structure of BeSI2N.

a b c (Å): 6.0931 6.0931 3.0101
angles (deg): 90.00 90.00 90.00
Last column: nearest neighbours and their distance in Å.
Element x y z (fractional)
1 Be 0.0000 0.0000 0.0000  2 N 1.51
2 S 0.5000 0.5000 0.5000  2 S 3.01
3 I 0.5000 0.0000 0.0000  2 I 3.01, 2 Be 3.05
4 I 0.0000 0.5000 0.0000  2 I 3.01, 2 Be 3.05
5 N 0.0000 0.0000 0.5000  2 Be 1.51

Calculated values
The space group is P4/mmm (123). The volume is 22.4 A^3/atom. The uncorrected formation energy comes out at 17.2 kcal/mol of atoms. The total energy is -15.54 eV per cell. The energy above the most stable polymorph in this dataset comes out at 0 meV per atom.

# 8
VASP calculation (PBE) on a relaxed structure of BaPmMg2Tl4.

a b c (Å): 4.9800 4.9800 11.7406
angles (deg): 77.76 77.76 60.00
Last column: nearest neighbours and their distance in Å.
Element x y z (fractional)
1 Mg 0.2358 0.2358 0.2926  6 Tl 2.99-3.11
2 Mg 0.7642 0.7642 0.7074  6 Tl 2.99-3.11
3 Pm 0.5000 0.5000 0.5000  8 Tl 3.27-3.54
4 Tl 0.1213 0.1213 0.6360  3 Mg 2.99, 3 Pm 3.27
5 Tl 0.6037 0.6037 0.1888  3 Mg 3.11
6 Tl 0.3963 0.3963 0.8112  3 Mg 3.11
7 Tl 0.8787 0.8787 0.3640  3 Mg 2.99, 3 Pm 3.27
8 Ba 0.0000 0.0000 0.0000  6 Tl 3.59

Calculated values
The space group is R-3m (166). The volume is 30.6 A^3/atom. The total energy is -21.58 eV per cell. The value obtained for the energy of formation from the pure elements is -2.3 eV/f.u.